# PrOsI

A geometry-optimized PrOsI structure (PBE, the Open Quantum Materials Database).

Cell lengths 4.2788, 4.2788, 37.5360 Å; angles 90.00, 90.00, 120.00 degrees
Space group R-3m (No. 166, hexagonal axes)
Asymmetric unit:
Pr 0.0000 0.0000 0.0552 x6
Os 0.0000 0.0000 0.3357 x6
I 0.0000 0.0000 0.2201 x6

V, Å³/cell: 595.2
Calculated total energy, Ry per atom: -0.4851
M_tot, μB/cell: 0.00


# OsSeI3

A geometry-optimized OsSeI3 structure (PBE, the Open Quantum Materials Database).

Cell lengths 7.0600, 14.7859, 13.9109 Å; angles 90.00, 100.40, 90.00 degrees
Space group C2/c (No. 15)
Asymmetric unit:
Os 0.0597 0.0428 0.1432 x8
Se 0.1618 0.1494 0.2849 x8
I 0.1407 0.0994 0.5320 x8
I 0.1457 0.3612 0.9117 x8
I 0.2477 0.0595 0.8035 x8

V, Å³/cell: 1428.3
Calculated total energy, Ry per atom: -0.2696
M_tot, μB/cell: 0.01


# Tl2OsI6

A geometry-optimized Tl2OsI6 structure (PBE, the Open Quantum Materials Database).

Cell lengths 7.8219, 7.8219, 11.0771 Å; angles 90.00, 90.00, 90.00 degrees
Space group I4/mmm (No. 139)
Asymmetric unit:
Tl 0.0000 0.5000 0.2500 x4
Os 0.0000 0.0000 0.0000 x2
I 0.0000 0.0000 0.2429 x4
I 0.2432 0.2432 0.0000 x8

V, Å³/cell: 677.7
Calculated total energy, Ry per atom: -0.2195
M_tot, μB/cell: 4.00


# Tm2Os2I

A geometry-optimized Tm2Os2I structure (PBE, the Open Quantum Materials Database).

Cell lengths 7.5052, 10.4417, 6.1038 Å; angles 90.00, 90.00, 90.00 degrees
Space group Ibam (No. 72)
Asymmetric unit:
Tm 0.1316 0.1409 0.0000 x8
Os 0.2450 0.3910 0.0000 x8
I 0.0000 0.5000 0.2500 x4

V, Å³/cell: 478.3
Calculated total energy, Ry per atom: -0.4429
M_tot, μB/cell: 0.48


# Pm7PI12

A geometry-optimized Pm7PI12 structure (PBE, the Open Quantum Materials Database).

Cell lengths 15.9859, 15.9859, 10.6546 Å; angles 90.00, 90.00, 120.00 degrees
Space group R-3 (No. 148, hexagonal axes)
Asymmetric unit:
Pm 0.0000 0.0000 0.0000 x3
Pm 0.0444 0.1590 0.3546 x18
P 0.0000 0.0000 0.5000 x3
I 0.0222 0.5864 0.1647 x18
I 0.0512 0.1830 0.8363 x18

V, Å³/cell: 2358.0
Calculated total energy, Ry per atom: -0.3128
M_tot, μB/cell: 0.02


# Pm2PI

A geometry-optimized Pm2PI structure (PBE, the Open Quantum Materials Database).

Cell lengths 4.2062, 4.2062, 22.8541 Å; angles 90.00, 90.00, 120.00 degrees
Space group R-3m (No. 166, hexagonal axes)
Asymmetric unit:
Pm 0.0000 0.0000 0.2288 x6
P 0.0000 0.0000 0.5000 x3
I 0.0000 0.0000 0.0000 x3

V, Å³/cell: 350.2
Calculated total energy, Ry per atom: -0.4031
M_tot, μB/cell: 0.03


# Pr4PI5

A geometry-optimized Pr4PI5 structure (PBE, the Open Quantum Materials Database).

Cell lengths 19.6485, 4.2813, 9.0886 Å; angles 90.00, 102.82, 90.00 degrees
Space group C2/m (No. 12)
Asymmetric unit:
Pr 0.0008 0.0000 0.2913 x4
Pr 0.1447 0.5000 0.5723 x4
P 0.0000 0.5000 0.5000 x2
I 0.0000 0.5000 0.0000 x2
I 0.1658 0.0000 0.8405 x4
I 0.1714 0.0000 0.3226 x4

V, Å³/cell: 745.5
Calculated total energy, Ry per atom: -0.3407
M_tot, μB/cell: 0.02


# SrPrPI

A geometry-optimized SrPrPI structure (PBE, the Open Quantum Materials Database).

Cell lengths 4.3441, 4.3441, 23.4586 Å; angles 90.00, 90.00, 120.00 degrees
Space group R3m (No. 160, hexagonal axes)
Asymmetric unit:
Sr 0.0000 0.0000 0.0000 x3
Pr 0.0000 0.0000 0.4641 x3
P 0.0000 0.0000 0.7354 x3
I 0.0000 0.0000 0.2296 x3

V, Å³/cell: 383.4
Calculated total energy, Ry per atom: -0.3454
M_tot, μB/cell: 0.04


Please write out number 1 again, unchanged.
# PrOsI

A geometry-optimized PrOsI structure (PBE, the Open Quantum Materials Database).

Cell lengths 4.2788, 4.2788, 37.5360 Å; angles 90.00, 90.00, 120.00 degrees
Space group R-3m (No. 166, hexagonal axes)
Asymmetric unit:
Pr 0.0000 0.0000 0.0552 x6
Os 0.0000 0.0000 0.3357 x6
I 0.0000 0.0000 0.2201 x6

V, Å³/cell: 595.2
Calculated total energy, Ry per atom: -0.4851
M_tot, μB/cell: 0.00


Repeat the first record exactly.
# PrOsI

A geometry-optimized PrOsI structure (PBE, the Open Quantum Materials Database).

Cell lengths 4.2788, 4.2788, 37.5360 Å; angles 90.00, 90.00, 120.00 degrees
Space group R-3m (No. 166, hexagonal axes)
Asymmetric unit:
Pr 0.0000 0.0000 0.0552 x6
Os 0.0000 0.0000 0.3357 x6
I 0.0000 0.0000 0.2201 x6

V, Å³/cell: 595.2
Calculated total energy, Ry per atom: -0.4851
M_tot, μB/cell: 0.00